Compound: CsSc3Nb
Source: Alexandria
Functional: PBE
Structure: optimized geometry

ΔE_f = 0.764 eV/atom
crystal system = cubic
excess energy over the best structure of this formula in the dataset = 0.0 kJ/mol of atoms

Cell lengths 5.423, 5.423, 5.423 Å; angles 90.00, 90.00, 90.00 degrees
Fractional coordinates of all 5 atoms:
Sc 0.000 0.000 0.500
Sc 0.000 0.500 0.000
Sc 0.500 0.000 0.000
Nb 0.000 0.000 0.000
Cs 0.500 0.500 0.500

Compound: CsScNb2
Source: Alexandria
Functional: PBE
Structure: optimized geometry

ΔE_f = 1.543 eV/atom
crystal system = tetragonal
excess energy over the best structure of this formula in the dataset = 0.0 kJ/mol of atoms

Cell lengths 4.645, 4.645, 11.151 Å; angles 77.98, 77.98, 90.00 degrees
Fractional coordinates of all 8 atoms:
Sc 0.250 0.750 0.500
Sc 0.500 0.500 0.000
Nb 0.493 0.125 0.250
Nb 0.375 0.507 0.750
Nb 0.257 0.625 0.250
Nb 0.875 0.743 0.750
Cs 0.750 0.250 0.500
Cs 0.000 0.000 0.000

Compound: CsSc2Nb
Source: Alexandria
Functional: PBE
Structure: optimized geometry

ΔE_f = 1.076 eV/atom
crystal system = cubic
excess energy over the best structure of this formula in the dataset = 0.0 kJ/mol of atoms

Cell lengths 5.259, 5.259, 5.259 Å; angles 60.00, 60.00, 60.00 degrees
Fractional coordinates of all 4 atoms:
Sc 0.250 0.250 0.250
Sc 0.750 0.750 0.750
Cs 0.500 0.500 0.500
Nb 0.000 0.000 0.000

Compound: Cs2ScNb
Source: Alexandria
Functional: PBE
Structure: optimized geometry

ΔE_f = 1.347 eV/atom
crystal system = tetragonal
excess energy over the best structure of this formula in the dataset = 0.0 kJ/mol of atoms

Cell lengths 10.253, 10.253, 10.253 Å; angles 93.46, 93.46, 151.54 degrees
Fractional coordinates of all 8 atoms:
Nb 0.250 0.750 0.500
Nb 0.000 0.000 0.000
Cs 0.053 0.875 0.678
Cs 0.625 0.947 0.822
Cs 0.197 0.375 0.322
Cs 0.125 0.803 0.178
Sc 0.500 0.500 0.000
Sc 0.750 0.250 0.500

Compound: Cs2ScNb
Source: Alexandria
Functional: PBE
Structure: optimized geometry

ΔE_f = 1.726 eV/atom
crystal system = cubic
excess energy over the best structure of this formula in the dataset = 36.6 kJ/mol of atoms

Cell lengths 6.246, 6.246, 6.246 Å; angles 60.00, 60.00, 60.00 degrees
Fractional coordinates of all 4 atoms:
Sc 0.000 0.000 0.000
Nb 0.500 0.500 0.500
Cs 0.750 0.750 0.750
Cs 0.250 0.250 0.250

Compound: Cs2ScNbTc
Source: Alexandria
Functional: PBE
Structure: optimized geometry

ΔE_f = 2.105 eV/atom
crystal system = tetragonal

Cell lengths 6.426, 5.105, 6.426 Å; angles 90.00, 90.00, 90.00 degrees
Fractional coordinates of all 5 atoms:
Cs 0.000 0.000 0.500
Cs 0.500 0.000 0.000
Tc 0.500 0.500 0.500
Sc 0.000 0.500 0.000
Nb 0.000 0.000 0.000

Compound: Cs3NbSe4
Source: Alexandria
Functional: PBE
Structure: optimized geometry

crystal system = orthorhombic
uncorrected formation energy = -1.19 eV per atom

Cell lengths 10.427, 10.522, 12.123 Å; angles 90.00, 90.00, 90.00 degrees
Fractional coordinates of all 32 atoms:
Cs 0.950 0.708 0.457
Cs 0.858 0.916 0.750
Cs 0.642 0.416 0.250
Cs 0.950 0.708 0.043
Cs 0.450 0.792 0.043
Cs 0.358 0.584 0.750
Cs 0.550 0.208 0.543
Cs 0.142 0.084 0.250
Cs 0.050 0.292 0.957
Cs 0.450 0.792 0.457
Cs 0.050 0.292 0.543
Cs 0.550 0.208 0.957
Se 0.296 0.246 0.750
Se 0.334 0.452 0.415
Se 0.666 0.548 0.585
Se 0.704 0.754 0.250
Se 0.993 0.574 0.750
Se 0.666 0.548 0.915
Se 0.493 0.926 0.750
Se 0.834 0.048 0.085
Se 0.166 0.952 0.915
Se 0.166 0.952 0.585
Se 0.204 0.746 0.250
Se 0.834 0.048 0.415
Se 0.796 0.254 0.750
Se 0.334 0.452 0.085
Se 0.007 0.426 0.250
Se 0.507 0.074 0.250
Nb 0.221 0.516 0.250
Nb 0.721 0.984 0.250
Nb 0.779 0.484 0.750
Nb 0.279 0.016 0.750

Compound: CsNbSe3
Source: Alexandria
Functional: PBE
Structure: optimized geometry

crystal system = trigonal
uncorrected formation energy = -0.45 eV per atom
excess energy over the best structure of this formula in the dataset = 51.5 kJ/mol of atoms

Cell lengths 7.032, 7.032, 7.032 Å; angles 87.68, 87.68, 87.68 degrees
Fractional coordinates of all 5 atoms:
Se 0.683 0.070 0.683
Se 0.070 0.683 0.683
Se 0.683 0.683 0.070
Nb 0.881 0.881 0.881
Cs 0.559 0.559 0.559

Compound: CsNb2Se6
Source: Alexandria
Functional: PBE
Structure: optimized geometry

crystal system = trigonal
uncorrected formation energy = -0.69 eV per atom

Cell lengths 6.315, 6.315, 8.990 Å; angles 90.00, 90.00, 120.00 degrees
Fractional coordinates of all 9 atoms:
Nb 0.667 0.333 0.500
Nb 0.333 0.667 0.500
Cs 0.000 0.000 0.000
Se 0.000 0.340 0.670
Se 0.660 0.660 0.670
Se 0.340 0.340 0.330
Se 0.660 0.000 0.330
Se 0.340 0.000 0.670
Se 0.000 0.660 0.330

Compound: CsNbSe3
Source: Alexandria
Functional: PBE
Structure: optimized geometry

crystal system = tetragonal
uncorrected formation energy = -0.27 eV per atom
excess energy over the best structure of this formula in the dataset = 68.9 kJ/mol of atoms

Cell lengths 5.739, 5.739, 13.769 Å; angles 77.97, 77.97, 90.00 degrees
Fractional coordinates of all 10 atoms:
Se 0.346 0.124 0.752
Se 0.298 0.298 0.404
Se 0.876 0.654 0.248
Se 0.876 0.098 0.248
Se 0.702 0.702 0.596
Se 0.902 0.124 0.752
Cs 0.000 0.000 0.000
Cs 0.250 0.750 0.500
Nb 0.692 0.192 0.615
Nb 0.808 0.308 0.385

Compound: CsNbSe3
Source: Alexandria
Functional: PBE
Structure: optimized geometry

crystal system = cubic
uncorrected formation energy = 1.60 eV per atom
excess energy over the best structure of this formula in the dataset = 249.3 kJ/mol of atoms

Cell lengths 5.671, 5.671, 5.671 Å; angles 90.00, 90.00, 90.00 degrees
Fractional coordinates of all 5 atoms:
Nb 0.500 0.500 0.500
Se 0.000 0.000 0.500
Se 0.000 0.500 0.000
Se 0.500 0.000 0.000
Cs 0.000 0.000 0.000

Compound: CsNb2Se3
Source: Alexandria
Functional: PBE
Structure: optimized geometry

crystal system = orthorhombic
uncorrected formation energy = -0.83 eV per atom

Cell lengths 4.457, 8.755, 8.604 Å; angles 90.00, 90.00, 104.75 degrees
Fractional coordinates of all 12 atoms:
Nb 0.000 0.000 0.000
Nb 0.000 0.000 0.500
Nb 0.521 0.042 0.750
Nb 0.479 0.958 0.250
Cs 0.776 0.551 0.750
Cs 0.224 0.449 0.250
Se 0.101 0.201 0.750
Se 0.593 0.187 0.045
Se 0.407 0.813 0.955
Se 0.593 0.187 0.455
Se 0.899 0.799 0.250
Se 0.407 0.813 0.545

For reference, total magnetization by record: 0.000 0.000 0.001 2.557 3.330 5.574 0.000 0.000 0.000 0.001 2.269 0.384 μB/f.u..